Compound: InBi4Pb4
Source: Alexandria
Functional: PBE
Structure: optimized geometry

Properties
For the calculated formation energy, the calculation gives 0.05 eV/atom. For the final energy, the calculation gives -32.60 eV for the cell shown. The space-group type is I4/mmm, No. 139. The value obtained for the total magnetization is 0.000 μB/atom.

Unit cell a=7.8731 b=7.8731 c=7.8731 alpha=96.01 beta=96.01 gamma=142.24
With the nearest neighbours (Å) after each atom.
Positions (direct):
In 0.0000 0.0000 0.0000  4 Pb 3.47, 8 Bi 3.53
Bi 0.3362 0.3362 0.6724  4 Bi 3.45-3.62, 2 In 3.53, 6 Pb 3.54
Bi 0.3362 0.6638 0.0000  4 Bi 3.45-3.62, 2 In 3.53, 6 Pb 3.54
Bi 0.6638 0.3362 0.0000  4 Bi 3.45-3.62, 2 In 3.53, 6 Pb 3.54
Bi 0.6638 0.6638 0.3276  4 Bi 3.45-3.62, 2 In 3.53, 6 Pb 3.54
Pb 0.0000 0.3297 0.3297  1 In 3.47, 6 Bi 3.54, 5 Pb 3.59-3.60
Pb 0.0000 0.6703 0.6703  1 In 3.47, 6 Bi 3.54, 5 Pb 3.59-3.60
Pb 0.3297 0.0000 0.3297  1 In 3.47, 6 Bi 3.54, 5 Pb 3.59-3.60
Pb 0.6703 0.0000 0.6703  1 In 3.47, 6 Bi 3.54, 5 Pb 3.59-3.60